Entry from the Alexandria database: a relaxed structure of Cs2GeSe3 (PBE-GGA).

a b c (Å): 7.258 9.081 17.233
angles (deg): 89.49 88.72 66.45
Element x y z (fractional)
Cs1 0.614 0.371 0.350
Cs2 0.015 0.371 0.150
Cs3 0.386 0.629 0.650
Cs4 0.985 0.629 0.850
Cs5 0.334 0.869 0.063
Cs6 0.797 0.869 0.437
Cs7 0.666 0.131 0.937
Cs8 0.203 0.131 0.563
Ge1 0.763 0.938 0.172
Ge2 0.298 0.938 0.328
Ge3 0.237 0.062 0.828
Ge4 0.702 0.062 0.672
Se1 0.607 0.786 0.250
Se2 0.393 0.214 0.750
Se3 0.556 0.205 0.143
Se4 0.239 0.205 0.357
Se5 0.444 0.795 0.857
Se6 0.761 0.795 0.643
Se7 0.667 0.235 0.567
Se8 0.098 0.235 0.933
Se9 0.333 0.765 0.433
Se10 0.902 0.765 0.067
Se11 0.988 0.024 0.250
Se12 0.012 0.976 0.750

Values from the calculation:
As for the space-group type: C2/c. As for the formation energy (no corrections): -873 meV/atom. For the final energy, the calculation gives -3.669 eV per atom. For the total magnetization, the calculation gives 0.00 μB/cell.